Density functional theory data (PBE) for crystalline Nd5ScCd3 at its relaxed geometry.

- Volume: 531.85 Å³ per cell
- E_form: -0.157 eV/atom
- Final energy: -3.8144 eV per atom

Geometry as extended XYZ:
```
18
Lattice="9.415 0.000 0.000 -4.707 8.154 0.000 0.000 0.000 6.928" Properties=species:S:1:pos:R:3 pbc="T T T"
Nd -1.538 2.664 1.732
Nd -3.169 5.490 5.196
Nd 3.076 0.000 1.732
Nd 1.538 2.664 5.196
Nd 0.000 5.436 0.000
Nd 0.000 5.436 3.464
Nd 4.708 2.718 0.000
Nd 4.708 2.718 3.464
Nd 6.339 0.000 5.196
Nd 3.169 5.490 1.732
Sc 0.000 0.000 0.000
Sc 0.000 0.000 3.464
Cd -1.558 2.698 5.196
Cd -3.150 5.456 1.732
Cd 3.115 0.000 5.196
Cd 1.558 2.698 1.732
Cd 6.300 0.000 1.732
Cd 3.150 5.456 5.196
```